! PBE InCo2NiCl, optimized geometry; values from VASP
! Energy above the lowest structure with this stoichiometry = 0.000 eV per atom
! Symmetry = No. 123
! Formation energy (no corrections) = 3.66 eV/f.u.
! Calculated total energy = -4.184 eV per atom
! Crystal system = tetragonal
! Total moment = 1.005 μB/atom
&SYSTEM
  ibrav = 0, nat = 5, ntyp = 4
/
ATOMIC_SPECIES
In 114.82 In.upf
Co 58.93 Co.upf
Ni 58.69 Ni.upf
Cl 35.45 Cl.upf
ATOMIC_POSITIONS angstrom
In 0.000 0.000 0.000
Co 0.000 2.235 2.501
Co 2.235 0.000 2.501
Ni 0.000 0.000 2.501
Cl 2.235 2.235 0.000
CELL_PARAMETERS angstrom
4.469 0.000 0.000
0.000 4.469 0.000
0.000 0.000 5.003